# 1
Entry from Alexandria: a relaxed structure of YHf2CuNi (PBE-GGA).

Properties
total energy	-6.8560	eV per atom
ΔE_f	0.3937	eV per atom

a = 4.7663 Å, b = 4.7663 Å, c = 5.2028 Å
α = 90.00°, β = 90.00°, γ = 90.00°
Last column: nearest neighbours and their distance in Å.
Sites, in units of the cell vectors:
1 Y 0.0000 0.0000 0.0000  2 Ni 2.60
2 Hf 0.0000 0.5000 0.5000  2 Ni 2.38
3 Hf 0.5000 0.0000 0.5000  2 Ni 2.38
4 Cu 0.5000 0.5000 0.0000  4 Y 3.37, 8 Hf 3.53
5 Ni 0.0000 0.0000 0.5000  4 Hf 2.38, 2 Y 2.60

=====

# 2
Entry from Alexandria: a relaxed structure of HfZrCuNi (PBE-GGA).

Properties
total energy	-7.3817	eV per atom
ΔE_f	-0.2869	eV per atom

a = 4.1365 Å, b = 5.2936 Å, c = 5.2936 Å
α = 35.95°, β = 90.00°, γ = 90.00°
Last column: nearest neighbours and their distance in Å.
Sites, in units of the cell vectors:
1 Hf 0.0000 0.0000 0.0000  4 Ni 2.71, 3 Cu 2.74-2.83
2 Zr 0.5000 0.7102 0.7102  4 Cu 2.73, 3 Ni 2.76-2.80
3 Cu 0.0000 0.2814 0.2814  2 Ni 2.59, 4 Zr 2.73, 3 Hf 2.74-2.83
4 Ni 0.5000 0.4364 0.4364  2 Cu 2.59, 4 Hf 2.71, 3 Zr 2.76-2.80

=====

# 3
Entry from Alexandria: a relaxed structure of Hf2NpCu (PBE-GGA).

Properties
total energy	-9.1076	eV per atom
ΔE_f	0.1283	eV per atom
energy above the most stable polymorph in this dataset	0.0	meV per atom

a = 3.1297 Å, b = 3.1297 Å, c = 8.0899 Å
α = 90.00°, β = 90.00°, γ = 90.00°
Last column: nearest neighbours and their distance in Å.
Sites, in units of the cell vectors:
1 Hf 0.0000 0.0000 0.2159  4 Cu 2.82, 4 Hf 3.13
2 Hf 0.0000 0.0000 0.7841  4 Cu 2.82, 4 Hf 3.13
3 Np 0.5000 0.5000 0.5000  4 Np 3.13, 8 Hf 3.19
4 Cu 0.5000 0.5000 0.0000  8 Hf 2.82, 4 Cu 3.13

=====

# 4
Entry from Alexandria: a relaxed structure of HfNpCu4 (PBE-GGA).

Properties
total energy	-6.4361	eV per atom
ΔE_f	0.1104	eV per atom

a = 5.1065 Å, b = 5.1065 Å, c = 5.1065 Å
α = 60.00°, β = 60.00°, γ = 60.00°
Last column: nearest neighbours and their distance in Å.
Sites, in units of the cell vectors:
1 Hf 0.0000 0.0000 0.0000  12 Cu 2.99, 4 Np 3.13
2 Np 0.7500 0.7500 0.7500  12 Cu 3.00, 4 Hf 3.13
3 Cu 0.3745 0.3745 0.3745  6 Cu 2.54-2.56
4 Cu 0.3745 0.3745 0.8766  6 Cu 2.54-2.56
5 Cu 0.3745 0.8766 0.3745  6 Cu 2.54-2.56
6 Cu 0.8766 0.3745 0.3745  6 Cu 2.54-2.56

=====

# 5
Entry from Alexandria: a relaxed structure of Hf2NpCu (PBE-GGA).

Properties
total energy	-8.9951	eV per atom
ΔE_f	0.2408	eV per atom
energy above the most stable polymorph in this dataset	112.5	meV per atom

a = 4.9900 Å, b = 4.9900 Å, c = 3.0972 Å
α = 90.00°, β = 90.00°, γ = 90.00°
Last column: nearest neighbours and their distance in Å.
Sites, in units of the cell vectors:
1 Hf 0.0000 0.5000 0.0000  4 Np 2.94, 4 Cu 2.94, 2 Hf 3.10
2 Hf 0.5000 0.0000 0.0000  4 Np 2.94, 4 Cu 2.94, 2 Hf 3.10
3 Np 0.0000 0.0000 0.5000  8 Hf 2.94, 2 Np 3.10
4 Cu 0.5000 0.5000 0.5000  8 Hf 2.94, 2 Cu 3.10

=====

# 6
Entry from Alexandria: a relaxed structure of HfCu6O12 (PBE-GGA).

Properties
total energy	-5.6478	eV per atom
E_form (uncorrected)	-699	meV per atom

a = 6.1644 Å, b = 6.1644 Å, c = 6.1644 Å
α = 96.89°, β = 96.89°, γ = 96.89°
Last column: nearest neighbours and their distance in Å.
Sites, in units of the cell vectors:
1 Hf 0.0000 0.0000 0.0000  6 O 2.09
2 Cu 0.1431 0.7811 0.5280  4 O 1.81-1.88
3 Cu 0.2189 0.4720 0.8569  4 O 1.81-1.88
4 Cu 0.4720 0.8569 0.2189  4 O 1.81-1.88
5 Cu 0.5280 0.1431 0.7811  4 O 1.81-1.88
6 Cu 0.7811 0.5280 0.1431  4 O 1.81-1.88
7 Cu 0.8569 0.2189 0.4720  4 O 1.81-1.88
8 O 0.1041 0.7339 0.8172  2 Cu 1.87-1.88, 1 Hf 2.09
9 O 0.1310 0.3666 0.5675  2 Cu 1.81-1.82
10 O 0.1828 0.8959 0.2661  2 Cu 1.87-1.88, 1 Hf 2.09
11 O 0.2661 0.1828 0.8959  2 Cu 1.87-1.88, 1 Hf 2.09
12 O 0.3666 0.5675 0.1310  2 Cu 1.81-1.82
13 O 0.4325 0.8690 0.6334  2 Cu 1.81-1.82
14 O 0.5675 0.1310 0.3666  2 Cu 1.81-1.82
15 O 0.6334 0.4325 0.8690  2 Cu 1.81-1.82
16 O 0.7339 0.8172 0.1041  2 Cu 1.87-1.88, 1 Hf 2.09
17 O 0.8172 0.1041 0.7339  2 Cu 1.87-1.88, 1 Hf 2.09
18 O 0.8690 0.6334 0.4325  2 Cu 1.81-1.82
19 O 0.8959 0.2661 0.1828  2 Cu 1.87-1.88, 1 Hf 2.09

=====

# 7
Entry from Alexandria: a relaxed structure of Hf2CuO (PBE-GGA).

Properties
total energy	-8.1757	eV per atom
E_form (uncorrected)	-935	meV per atom

a = 6.4607 Å, b = 6.4607 Å, c = 6.4607 Å
α = 131.83°, β = 131.83°, γ = 70.50°
Last column: nearest neighbours and their distance in Å.
Sites, in units of the cell vectors:
1 Hf 0.0531 0.6250 0.9281  2 O 2.09
2 Hf 0.3750 0.3031 0.4281  2 O 2.09
3 Hf 0.6969 0.1250 0.0719  2 O 2.09
4 Hf 0.8750 0.9469 0.5719  2 O 2.09
5 Cu 0.2500 0.7500 0.5000  4 Hf 2.52
6 Cu 0.5000 0.5000 0.0000  4 Hf 2.52
7 O 0.0000 0.0000 0.0000  4 Hf 2.09
8 O 0.7500 0.2500 0.5000  4 Hf 2.09

=====

# 8
Entry from Alexandria: a relaxed structure of Hf2CuO2 (PBE-GGA).

Properties
total energy	-8.3482	eV per atom
E_form (uncorrected)	-1564	meV per atom
energy above the most stable polymorph in this dataset	0.0	meV per atom

a = 4.8747 Å, b = 4.8747 Å, c = 4.8747 Å
α = 127.75°, β = 127.75°, γ = 77.03°
Last column: nearest neighbours and their distance in Å.
Sites, in units of the cell vectors:
1 Hf 0.2500 0.7500 0.5000  4 O 2.18
2 Hf 0.7500 0.2500 0.5000  4 O 2.18
3 Cu 0.0000 0.0000 0.0000  2 O 2.30
4 O 0.3017 0.3017 0.0000  4 Hf 2.18, 1 Cu 2.30
5 O 0.6983 0.6983 0.0000  4 Hf 2.18, 1 Cu 2.30

=====

# 9
Entry from Alexandria: a relaxed structure of Hf6CuO2 (PBE-GGA).

Properties
total energy	-9.0516	eV per atom
E_form (uncorrected)	-859	meV per atom

a = 7.3565 Å, b = 7.3565 Å, c = 7.3565 Å
α = 45.51°, β = 45.51°, γ = 45.51°
Last column: nearest neighbours and their distance in Å.
Sites, in units of the cell vectors:
1 Hf 0.0054 0.3297 0.6649  1 O 2.02
2 Hf 0.1195 0.8035 0.4579  1 O 2.02
3 Hf 0.3297 0.6649 0.0054  1 O 2.02
4 Hf 0.4579 0.1195 0.8035  1 O 2.02
5 Hf 0.6649 0.0054 0.3297  1 O 2.02
6 Hf 0.8035 0.4579 0.1195  1 O 2.02
7 Cu 0.8963 0.8963 0.8963  6 Hf 2.77-2.79
8 O 0.1665 0.1665 0.1665  3 Hf 2.02
9 O 0.2960 0.2960 0.2960  3 Hf 2.02

=====

# 10
Entry from Alexandria: a relaxed structure of HfCu2O (PBE-GGA).

Properties
total energy	-6.4636	eV per atom
E_form (uncorrected)	-688	meV per atom

a = 5.5036 Å, b = 5.5036 Å, c = 5.5036 Å
α = 98.66°, β = 98.66°, γ = 134.35°
Last column: nearest neighbours and their distance in Å.
Sites, in units of the cell vectors:
1 Hf 0.0000 0.0000 0.0000  2 O 2.14
2 Hf 0.7500 0.2500 0.5000  2 O 2.14
3 Cu 0.1845 0.6250 0.0595  2 Cu 2.30, 2 O 2.32
4 Cu 0.3750 0.4345 0.5595  2 Cu 2.30, 2 O 2.32
5 Cu 0.5655 0.1250 0.9405  2 Cu 2.30, 2 O 2.32
6 Cu 0.8750 0.8155 0.4405  2 Cu 2.30, 2 O 2.32
7 O 0.2500 0.7500 0.5000  2 Hf 2.14, 4 Cu 2.32
8 O 0.5000 0.5000 0.0000  2 Hf 2.14, 4 Cu 2.32

=====

# 11
Entry from Alexandria: a relaxed structure of Hf3Cu5O12 (PBE-GGA).

Properties
total energy	-7.1792	eV per atom
E_form (uncorrected)	-1687	meV per atom

a = 10.3861 Å, b = 10.3861 Å, c = 10.3861 Å
α = 109.47°, β = 109.47°, γ = 109.47°
Last column: nearest neighbours and their distance in Å.
Sites, in units of the cell vectors:
1 Hf 0.1250 0.2500 0.3750  8 O 2.21-2.26
2 Hf 0.1250 0.3750 0.7500  8 O 2.21-2.26
3 Hf 0.2500 0.3750 0.1250  8 O 2.21-2.26
4 Hf 0.2500 0.8750 0.6250  8 O 2.21-2.26
5 Hf 0.3750 0.1250 0.2500  8 O 2.21-2.26
6 Hf 0.3750 0.7500 0.1250  8 O 2.21-2.26
7 Hf 0.6250 0.2500 0.8750  8 O 2.21-2.26
8 Hf 0.6250 0.8750 0.7500  8 O 2.21-2.26
9 Hf 0.7500 0.1250 0.3750  8 O 2.21-2.26
10 Hf 0.7500 0.6250 0.8750  8 O 2.21-2.26
11 Hf 0.8750 0.6250 0.2500  8 O 2.21-2.26
12 Hf 0.8750 0.7500 0.6250  8 O 2.21-2.26
13 Cu 0.0000 0.0000 0.0000  6 O 2.00
14 Cu 0.0000 0.0000 0.5000  6 O 2.00
15 Cu 0.0000 0.5000 0.0000  6 O 2.00
16 Cu 0.0000 0.5000 0.5000  6 O 2.00
17 Cu 0.1250 0.7500 0.8750  4 O 1.90
18 Cu 0.1250 0.8750 0.2500  4 O 1.90
19 Cu 0.2500 0.1250 0.8750  4 O 1.90
20 Cu 0.2500 0.6250 0.3750  4 O 1.90
21 Cu 0.3750 0.2500 0.6250  4 O 1.90
22 Cu 0.3750 0.6250 0.7500  4 O 1.90
23 Cu 0.5000 0.0000 0.0000  6 O 2.00
24 Cu 0.5000 0.0000 0.5000  6 O 2.00
25 Cu 0.5000 0.5000 0.0000  6 O 2.00
26 Cu 0.5000 0.5000 0.5000  6 O 2.00
27 Cu 0.6250 0.3750 0.2500  4 O 1.90
28 Cu 0.6250 0.7500 0.3750  4 O 1.90
29 Cu 0.7500 0.3750 0.6250  4 O 1.90
30 Cu 0.7500 0.8750 0.1250  4 O 1.90
31 Cu 0.8750 0.1250 0.7500  4 O 1.90
32 Cu 0.8750 0.2500 0.1250  4 O 1.90
33 O 0.0466 0.2174 0.1348  2 Cu 1.90-2.00
34 O 0.0466 0.3292 0.9119  2 Cu 1.90-2.00
35 O 0.0827 0.7174 0.6708  2 Cu 1.90-2.00
36 O 0.0827 0.8652 0.4119  2 Cu 1.90-2.00
37 O 0.0881 0.6348 0.4173  2 Cu 1.90-2.00
38 O 0.0881 0.9534 0.6708  2 Cu 1.90-2.00
39 O 0.1348 0.0466 0.2174  2 Cu 1.90-2.00
40 O 0.1348 0.5881 0.9173  2 Cu 1.90-2.00
41 O 0.1708 0.2174 0.5827  2 Cu 1.90-2.00
42 O 0.1708 0.4534 0.5881  2 Cu 1.90-2.00
43 O 0.2174 0.1348 0.0466  2 Cu 1.90-2.00
44 O 0.2174 0.5827 0.1708  2 Cu 1.90-2.00
45 O 0.2826 0.3292 0.9173  2 Cu 1.90-2.00
46 O 0.2826 0.4534 0.3652  2 Cu 1.90-2.00
47 O 0.3292 0.9119 0.0466  2 Cu 1.90-2.00
48 O 0.3292 0.9173 0.2826  2 Cu 1.90-2.00
49 O 0.3652 0.2826 0.4534  2 Cu 1.90-2.00
50 O 0.3652 0.5827 0.9119  2 Cu 1.90-2.00
51 O 0.4119 0.0827 0.8652  2 Cu 1.90-2.00
52 O 0.4119 0.8292 0.5466  2 Cu 1.90-2.00
53 O 0.4173 0.0881 0.6348  2 Cu 1.90-2.00
54 O 0.4173 0.8292 0.7826  2 Cu 1.90-2.00
55 O 0.4534 0.3652 0.2826  2 Cu 1.90-2.00
56 O 0.4534 0.5881 0.1708  2 Cu 1.90-2.00
57 O 0.5466 0.4119 0.8292  2 Cu 1.90-2.00
58 O 0.5466 0.6348 0.7174  2 Cu 1.90-2.00
59 O 0.5827 0.1708 0.2174  2 Cu 1.90-2.00
60 O 0.5827 0.9119 0.3652  2 Cu 1.90-2.00
61 O 0.5881 0.1708 0.4534  2 Cu 1.90-2.00
62 O 0.5881 0.9173 0.1348  2 Cu 1.90-2.00
63 O 0.6348 0.4173 0.0881  2 Cu 1.90-2.00
64 O 0.6348 0.7174 0.5466  2 Cu 1.90-2.00
65 O 0.6708 0.0827 0.7174  2 Cu 1.90-2.00
66 O 0.6708 0.0881 0.9534  2 Cu 1.90-2.00
67 O 0.7174 0.5466 0.6348  2 Cu 1.90-2.00
68 O 0.7174 0.6708 0.0827  2 Cu 1.90-2.00
69 O 0.7826 0.4173 0.8292  2 Cu 1.90-2.00
70 O 0.7826 0.8652 0.9534  2 Cu 1.90-2.00
71 O 0.8292 0.5466 0.4119  2 Cu 1.90-2.00
72 O 0.8292 0.7826 0.4173  2 Cu 1.90-2.00
73 O 0.8652 0.4119 0.0827  2 Cu 1.90-2.00
74 O 0.8652 0.9534 0.7826  2 Cu 1.90-2.00
75 O 0.9119 0.0466 0.3292  2 Cu 1.90-2.00
76 O 0.9119 0.3652 0.5827  2 Cu 1.90-2.00
77 O 0.9173 0.1348 0.5881  2 Cu 1.90-2.00
78 O 0.9173 0.2826 0.3292  2 Cu 1.90-2.00
79 O 0.9534 0.6708 0.0881  2 Cu 1.90-2.00
80 O 0.9534 0.7826 0.8652  2 Cu 1.90-2.00

=====

# 12
Entry from Alexandria: a relaxed structure of Hf4CuO (PBE-GGA).

Properties
total energy	-8.9054	eV per atom
E_form (uncorrected)	-761	meV per atom

a = 7.3427 Å, b = 7.3427 Å, c = 5.6159 Å
α = 105.84°, β = 105.84°, γ = 121.92°
Last column: nearest neighbours and their distance in Å.
Sites, in units of the cell vectors:
1 Hf 0.0545 0.6375 0.8366  1 O 2.38, 1 Cu 2.54
2 Hf 0.1891 0.2983 0.7181  2 O 2.19-2.36
3 Hf 0.2983 0.1891 0.2181  2 O 2.19-2.36
4 Hf 0.3625 0.9455 0.6634  1 O 2.38, 1 Cu 2.54
5 Hf 0.6375 0.0545 0.3366  1 O 2.38, 1 Cu 2.54
6 Hf 0.7017 0.8109 0.7819  2 O 2.19-2.36
7 Hf 0.8109 0.7017 0.2819  2 O 2.19-2.36
8 Hf 0.9455 0.3625 0.1634  1 O 2.38, 1 Cu 2.54
9 Cu 0.3862 0.6138 0.2500  6 Hf 2.54-2.77
10 Cu 0.6138 0.3862 0.7500  6 Hf 2.54-2.77
11 O 0.0598 0.9402 0.7500  6 Hf 2.19-2.38
12 O 0.9402 0.0598 0.2500  6 Hf 2.19-2.38